No. 1
## Be3Nb (PBE)

Data for Be3Nb after structural relaxation.

Lattice parameters (Å, degrees): 4.5855 4.5855 20.9066 90.00 90.00 120.00
Last column: nearest neighbours and their distance in Å.
Space group R-3m (No. 166, hexagonal axes)
Symmetry-distinct sites (fractional):
Be  0.0000  0.0000  0.0000 [3 per cell]  6 Be 2.23
Be  0.0000  0.0000  0.1655 [6 per cell]  6 Be 2.14-2.16
Be  0.0043  0.5021  0.4188 [18 per cell]  7 Be 2.14-2.32
Nb  0.0000  0.0000  0.3600 [6 per cell]  12 Be 2.60-2.71, 3 Nb 2.87
Nb  0.0000  0.0000  0.5000 [3 per cell]  18 Be 2.65-2.85, 2 Nb 2.93

Summary:
As for the polymorph energy (0 for the lowest one): 2 meV/atom. The formation energy comes out at -245.1 meV per atom.

=====

No. 2
## NbFe2SnH (PBE)

Data for NbFe2SnH after structural relaxation.

Lattice parameters (Å, degrees): 4.0215 4.0215 4.0354 90.00 90.00 90.00
Last column: nearest neighbours and their distance in Å.
Space group P4/mmm (No. 123)
Symmetry-distinct sites (fractional):
Nb  0.0000  0.0000  0.0000 [1 per cell]  2 H 2.02
Fe  0.0000  0.5000  0.5000 [2 per cell]  2 H 2.01
Sn  0.5000  0.5000  0.0000 [1 per cell]  4 Nb 2.84, 8 Fe 2.85
H  0.0000  0.0000  0.5000 [1 per cell]  4 Fe 2.01, 2 Nb 2.02

Summary:
The value obtained for the uncorrected energy is -6.877 eV per atom.

=====

No. 3
## Ac2PmZn6 (PBE)

Data for Ac2PmZn6 after structural relaxation.

Lattice parameters (Å, degrees): 8.0831 8.0831 3.8283 90.00 90.00 120.00
Last column: nearest neighbours and their distance in Å.
Space group P6/mmm (No. 191)
Symmetry-distinct sites (fractional):
Ac  0.3333  0.6667  0.0000 [2 per cell]  12 Zn 3.34
Pm  0.0000  0.0000  0.0000 [1 per cell]  12 Zn 3.25
Zn  0.0000  0.3242  0.5000 [6 per cell]  3 Zn 2.62-2.84

Summary:
The formation energy comes out at -304.0 meV per atom.

=====

No. 4
## Sc2Zn2Au (PBE)

Data for Sc2Zn2Au after structural relaxation.

Lattice parameters (Å, degrees): 15.5205 4.4292 5.5265 90.00 99.00 90.00
Last column: nearest neighbours and their distance in Å.
Space group Cm (No. 8)
Symmetry-distinct sites (fractional):
Sc  0.0000  0.0000  0.0000 [2 per cell]  4 Au 2.77-2.92, 2 Zn 2.91
Sc  0.0606  0.5000  0.5451 [2 per cell]  4 Zn 2.84-3.13, 4 Au 2.84-2.89
Sc  0.2887  0.5000  0.0742 [2 per cell]  2 Au 2.79-2.96, 8 Zn 2.82-3.08
Sc  0.3589  0.0000  0.6630 [2 per cell]  6 Zn 2.80-2.99, 2 Au 2.82
Zn  0.1830  0.0000  0.8117 [2 per cell]  4 Zn 2.73-2.86, 2 Au 2.95, 3 Sc 2.97-2.99
Zn  0.1917  0.0000  0.3097 [2 per cell]  4 Zn 2.67-2.80, 2 Au 2.81
Zn  0.2445  0.5000  0.5592 [2 per cell]  4 Zn 2.67-2.86, 5 Sc 2.82-2.87
Zn  0.4042  0.0000  0.1734 [2 per cell]  2 Au 2.77, 7 Sc 2.80-2.92
Au  0.1081  0.5000  0.0636 [2 per cell]  5 Sc 2.77-2.87, 4 Zn 2.81-2.95
Au  0.4393  0.5000  0.4746 [2 per cell]  2 Zn 2.77, 7 Sc 2.82-2.96

Summary:
As for the polymorph energy (0 for the lowest one): 15 meV/atom. The formation energy comes out at -493.4 meV per atom.

=====

No. 5
## K12Na3Hg5 (PBE)

Data for K12Na3Hg5 after structural relaxation.

Lattice parameters (Å, degrees): 21.3664 21.3664 21.3664 90.00 90.00 90.00
Last column: nearest neighbours and their distance in Å.
Space group Ia-3d (No. 230)
Symmetry-distinct sites (fractional):
K  0.0287  0.0694  0.6452 [96 per cell]  2 Hg 3.38-3.49
Na  0.0000  0.2500  0.1250 [24 per cell]  8 K 3.93-4.24
Hg  0.0000  0.0000  0.0000 [16 per cell]  6 K 3.49
Hg  0.0000  0.2500  0.3750 [24 per cell]  4 K 3.38

Summary:
The formation energy comes out at 17.5 meV per atom.

=====

No. 6
## ThCoSi2Os2 (PBE)

Data for ThCoSi2Os2 after structural relaxation.

Lattice parameters (Å, degrees): 4.4025 4.4025 5.2493 90.00 90.00 90.00
Last column: nearest neighbours and their distance in Å.
Space group P4/mmm (No. 123)
Symmetry-distinct sites (fractional):
Th  0.0000  0.0000  0.0000 [1 per cell]  2 Co 2.62
Co  0.0000  0.0000  0.5000 [1 per cell]  4 Si 2.20
Si  0.0000  0.5000  0.5000 [2 per cell]  2 Co 2.20
Os  0.5000  0.5000  0.2367 [2 per cell]  2 Os 2.48-2.76, 4 Si 2.60

Summary:
The value obtained for the formation energy (no corrections) is -0.7 eV/f.u.

=====

No. 7
## Pu3Tl3PdSe8 (PBE)

Data for Pu3Tl3PdSe8 after structural relaxation.

Lattice parameters (Å, degrees): 8.1391 8.1391 23.6777 90.00 90.00 120.00
Last column: nearest neighbours and their distance in Å.
Space group R-3m (No. 166, hexagonal axes)
Symmetry-distinct sites (fractional):
Pu  0.0000  0.5000  0.0000 [9 per cell]  6 Se 2.85-2.86
Tl  0.0000  0.5000  0.5000 [9 per cell]  6 Se 3.30-3.34
Pd  0.0000  0.0000  0.0000 [3 per cell]  6 Se 2.69
Se  0.0000  0.0000  0.2645 [6 per cell]  3 Pu 2.86
Se  0.0183  0.5092  0.7307 [18 per cell]  1 Pd 2.69, 2 Pu 2.85

Summary:
The value obtained for the formation energy (no corrections) is -13.3 eV/f.u.

=====

No. 8
## LiYThPd (PBE)

Data for LiYThPd after structural relaxation.

Lattice parameters (Å, degrees): 7.2321 7.2321 7.2321 90.00 90.00 90.00
Last column: nearest neighbours and their distance in Å.
Space group F-43m (No. 216)
Symmetry-distinct sites (fractional):
Li  0.0000  0.0000  0.0000 [4 per cell]  4 Y 3.13, 4 Th 3.13
Y  0.2500  0.2500  0.2500 [4 per cell]  4 Li 3.13, 4 Pd 3.13
Th  0.2500  0.2500  0.7500 [4 per cell]  4 Li 3.13, 4 Pd 3.13
Pd  0.0000  0.0000  0.5000 [4 per cell]  4 Th 3.13, 4 Y 3.13

Summary:
The formation energy comes out at -250.5 meV per atom.

=====

No. 9
## Pa2Be4Ir5 (PBE)

Data for Pa2Be4Ir5 after structural relaxation.

Lattice parameters (Å, degrees): 5.6143 9.4173 12.3925 90.00 90.00 90.00
Last column: nearest neighbours and their distance in Å.
Space group Fmmm (No. 69)
Symmetry-distinct sites (fractional):
Pa  0.0000  0.0000  0.1281 [8 per cell]  10 Ir 3.13-3.23, 8 Be 3.14-3.31, 1 Pa 3.18
Be  0.0000  0.1488  0.3656 [16 per cell]  5 Ir 2.18-2.38
Ir  0.0000  0.0000  0.5000 [4 per cell]  4 Be 2.18
Ir  0.2500  0.2500  0.0000 [8 per cell]  4 Be 2.38
Ir  0.2500  0.2500  0.2500 [8 per cell]  4 Be 2.22

Summary:
The formation energy comes out at -641.5 meV per atom.

=====

No. 10
## Sm3CSeN (PBE)

Data for Sm3CSeN after structural relaxation.

Lattice parameters (Å, degrees): 7.1156 3.8669 10.0066 90.00 107.26 90.00
Last column: nearest neighbours and their distance in Å.
Space group P2_1/m (No. 11)
Symmetry-distinct sites (fractional):
Sm  0.0229  0.2500  0.3603 [2 per cell]  3 C 2.37-2.63
Sm  0.2857  0.2500  0.9524 [2 per cell]  3 N 2.29-2.36
Sm  0.4429  0.7500  0.6721 [2 per cell]  1 N 2.21
C  0.2049  0.2500  0.6007 [2 per cell]  5 Sm 2.37-2.63
Se  0.1899  0.7500  0.1907 [2 per cell]  7 Sm 3.04-3.29
N  0.3996  0.7500  0.8821 [2 per cell]  4 Sm 2.21-2.36

Summary:
The value obtained for the formation energy (no corrections) is -6.5 eV/f.u.

=====

No. 11
## CdAgBi (PBE)

Data for CdAgBi after structural relaxation.

Lattice parameters (Å, degrees): 6.4295 6.4261 7.2305 90.00 90.16 90.00
Last column: nearest neighbours and their distance in Å.
Space group C2/m (No. 12)
Symmetry-distinct sites (fractional):
Cd  0.2494  0.0000  0.2346 [4 per cell]  4 Ag 2.97-2.98, 5 Bi 3.13-3.23
Ag  0.0000  0.2500  0.5000 [4 per cell]  4 Cd 2.97-2.98, 4 Bi 3.15, 4 Ag 3.21
Bi  0.2504  0.0000  0.8022 [4 per cell]  5 Cd 3.13-3.23, 4 Ag 3.15

Summary:
The formation energy comes out at 30.7 meV per atom.

=====

No. 12
## TmMgS3 (PBE)

Data for TmMgS3 after structural relaxation.

Lattice parameters (Å, degrees): 6.6976 6.6976 17.5023 90.00 90.00 120.00
Last column: nearest neighbours and their distance in Å.
Space group R-3 (No. 148, hexagonal axes)
Symmetry-distinct sites (fractional):
Tm  0.0000  0.0000  0.1522 [6 per cell]  6 S 2.67-2.71
Mg  0.0000  0.0000  0.3490 [6 per cell]  6 S 2.55-2.68
S  0.0089  0.6956  0.2518 [18 per cell]  2 Mg 2.55-2.68, 2 Tm 2.67-2.71

Summary:
As for the polymorph energy (0 for the lowest one): 0 meV/atom. The value obtained for the formation energy (no corrections) is -6.8 eV/f.u.

=====

No. 13
## UAgF6 (PBE)

Data for UAgF6 after structural relaxation.

Lattice parameters (Å, degrees): 5.7689 5.7689 11.1805 90.00 90.00 120.00
Last column: nearest neighbours and their distance in Å.
Space group P-31c (No. 163)
Symmetry-distinct sites (fractional):
U  0.0000  0.0000  0.0000 [2 per cell]  6 F 2.09
Ag  0.3333  0.6667  0.2500 [2 per cell]  6 F 2.46
F  0.0381  0.3116  0.1097 [12 per cell]  1 U 2.09

Summary:
The value obtained for the formation energy (no corrections) is -23.6 eV/f.u.

=====

No. 14
## Li5Pu2Au3N2 (PBE)

Data for Li5Pu2Au3N2 after structural relaxation.

Lattice parameters (Å, degrees): 4.2614 4.2614 22.2439 90.00 90.00 90.00
Last column: nearest neighbours and their distance in Å.
Space group I4/mmm (No. 139)
Symmetry-distinct sites (fractional):
Li  0.0000  0.0000  0.0000 [2 per cell]  2 N 2.11
Li  0.0000  0.5000  0.0830 [8 per cell]  2 N 2.15
Pu  0.0000  0.0000  0.1857 [4 per cell]  1 N 2.02
Au  0.0000  0.0000  0.3238 [4 per cell]  4 Li 2.97, 5 Pu 3.02-3.07
Au  0.0000  0.0000  0.5000 [2 per cell]  12 Li 2.82-3.01
N  0.0000  0.0000  0.0949 [4 per cell]  1 Pu 2.02, 5 Li 2.11-2.15

Summary:
The value obtained for the formation energy (no corrections) is -6.3 eV/f.u.

=====

No. 15
## YCrAu (PBE)

Data for YCrAu after structural relaxation.

Lattice parameters (Å, degrees): 6.6735 6.6735 6.6735 90.00 90.00 90.00
Last column: nearest neighbours and their distance in Å.
Space group F-43m (No. 216)
Symmetry-distinct sites (fractional):
Y  0.0000  0.0000  0.0000 [4 per cell]  4 Au 2.89
Cr  0.0000  0.0000  0.5000 [4 per cell]  4 Au 2.89
Au  0.2500  0.2500  0.7500 [4 per cell]  4 Cr 2.89, 4 Y 2.89

Summary:
As for the polymorph energy (0 for the lowest one): 123 meV/atom. The formation energy comes out at 15.9 meV per atom.

=====

No. 16
## LaMgGa (PBE)

Data for LaMgGa after structural relaxation.

Lattice parameters (Å, degrees): 16.6444 4.4094 4.4114 90.00 105.29 90.00
Last column: nearest neighbours and their distance in Å.
Space group C2/m (No. 12)
Symmetry-distinct sites (fractional):
La  0.1721  0.0000  0.1712 [4 per cell]  5 Ga 3.22-3.32, 4 Mg 3.54
Mg  0.0000  0.0000  0.5000 [2 per cell]  4 Ga 2.94, 4 Mg 3.12
Mg  0.0000  0.5000  0.0000 [2 per cell]  4 Ga 2.94, 4 Mg 3.12
Ga  0.1213  0.5000  0.6206 [4 per cell]  4 Mg 2.94, 4 La 3.22

Summary:
The formation energy comes out at -386.6 meV per atom.

=====

No. 17
## GaFe2Mo (PBE)

Data for GaFe2Mo after structural relaxation.

Lattice parameters (Å, degrees): 2.8908 2.8908 6.0080 90.00 90.00 90.00
Last column: nearest neighbours and their distance in Å.
Space group P4/mmm (No. 123)
Symmetry-distinct sites (fractional):
Ga  0.0000  0.0000  0.0000 [1 per cell]  8 Fe 2.50
Fe  0.5000  0.5000  0.2409 [2 per cell]  4 Ga 2.50, 4 Mo 2.57
Mo  0.0000  0.0000  0.5000 [1 per cell]  8 Fe 2.57

Summary:
The formation energy comes out at -4.4 meV per atom.

=====

No. 18
## La2TlNiPb (PBE)

Data for La2TlNiPb after structural relaxation.

Lattice parameters (Å, degrees): 5.4434 5.4434 5.0084 90.00 90.00 90.00
Last column: nearest neighbours and their distance in Å.
Space group P4/mmm (No. 123)
Symmetry-distinct sites (fractional):
La  0.0000  0.5000  0.0000 [2 per cell]  2 Ni 2.72
Tl  0.0000  0.0000  0.5000 [1 per cell]  8 La 3.70, 4 Pb 3.85
Ni  0.5000  0.5000  0.0000 [1 per cell]  2 Pb 2.50, 4 La 2.72
Pb  0.5000  0.5000  0.5000 [1 per cell]  2 Ni 2.50

Summary:
As for the polymorph energy (0 for the lowest one): 62 meV/atom. The formation energy comes out at -324.5 meV per atom.

=====

No. 19
## SmBeGe (PBE)

Data for SmBeGe after structural relaxation.

Lattice parameters (Å, degrees): 3.9650 4.1926 6.9444 90.00 90.00 90.00
Last column: nearest neighbours and their distance in Å.
Space group Pmmm (No. 47)
Symmetry-distinct sites (fractional):
Sm  0.0000  0.0000  0.0000 [1 per cell]  8 Ge 3.15, 4 Be 3.17
Sm  0.5000  0.0000  0.5000 [1 per cell]  4 Ge 3.04, 8 Be 3.08
Be  0.0000  0.5000  0.3430 [2 per cell]  1 Be 2.18, 2 Ge 2.28
Ge  0.5000  0.5000  0.1821 [2 per cell]  2 Be 2.28, 1 Ge 2.53

Summary:
The formation energy comes out at -563.6 meV per atom.

=====

No. 20
## Pm3Th4Se8 (PBE)

Data for Pm3Th4Se8 after structural relaxation.

Lattice parameters (Å, degrees): 11.8036 11.8190 8.3329 90.00 134.75 90.00
Last column: nearest neighbours and their distance in Å.
Space group C2/m (No. 12)
Symmetry-distinct sites (fractional):
Pm  0.0000  0.0000  0.0000 [2 per cell]  6 Se 2.94-2.95
Pm  0.2500  0.2500  0.0000 [4 per cell]  6 Se 2.95-2.96
Th  0.0000  0.5000  0.0000 [2 per cell]  6 Se 2.95-2.97
Th  0.0000  0.5000  0.5000 [2 per cell]  6 Se 3.03-3.06
Th  0.2500  0.2500  0.5000 [4 per cell]  6 Se 2.95-2.96
Se  0.0000  0.2426  0.5000 [4 per cell]  3 Th 2.95-3.04, 2 Pm 2.96
Se  0.0000  0.2488  0.0000 [4 per cell]  3 Pm 2.94-2.95, 3 Th 2.96-2.97
Se  0.2398  0.0000  0.4982 [4 per cell]  1 Pm 2.95, 4 Th 2.96-3.06
Se  0.2440  0.0000  0.9877 [4 per cell]  2 Th 2.95-3.03, 3 Pm 2.95-2.96

Summary:
The value obtained for the formation energy (no corrections) is -25.6 eV/f.u.

=====

Number 1: total magnetic moment 0.0 μB/f.u.. Number 2: total magnetic moment 5.1 μB/f.u.. Number 3: total magnetic moment 0.0 μB/f.u.. Number 4: total magnetic moment 0.0 μB/f.u.. Number 5: total magnetic moment 0.0 μB/f.u.. Number 6: total magnetic moment 0.0 μB/f.u.. Number 7: total magnetic moment 13.8 μB/f.u.. Number 8: total magnetic moment 0.0 μB/f.u.. Number 9: total magnetic moment 1.1 μB/f.u.. Number 10: total magnetic moment 0.0 μB/f.u.. Number 11: total magnetic moment 0.0 μB/f.u.. Number 12: total magnetic moment 0.0 μB/f.u.. Number 13: total magnetic moment 1.0 μB/f.u.. Number 14: total magnetic moment 10.0 μB/f.u.. Number 15: total magnetic moment 4.1 μB/f.u.. Number 16: total magnetic moment 0.3 μB/f.u.. Number 17: total magnetic moment 0.0 μB/f.u.. Number 18: total magnetic moment 0.0 μB/f.u.. Number 19: total magnetic moment 0.0 μB/f.u.. Number 20: total magnetic moment 0.0 μB/f.u..